## Rb2CdWF6 (PBE with a Hubbard U)

Data for an optimized crystal structure of Rb2CdWF6.

Mass density (Mg/m³): 4.90
E_tot (eV/atom): -4.525

Cell lengths 9.2344, 9.2344, 9.2344 Å; angles 90.00, 90.00, 90.00 degrees
Space group Fm-3m (No. 225)
Symmetry-distinct sites (fractional):
Rb 0.2500 0.2500 0.2500 x8
Cd 0.0000 0.0000 0.0000 x4
W 0.0000 0.0000 0.5000 x4
F 0.0000 0.0000 0.2699 x24